A plane-wave DFT calculation with PBE-GGA was carried out for crystalline ScBi2IrO8 at its relaxed geometry.

Cell: 4.9716 6.7227 4.9763 Å, 90.00 90.15 90.00°
With the nearest neighbours (Å) after each atom.
Space group P2/m (No. 10)
One atom of each set of equivalent atoms:
Sc1 0.0000 0.0000 0.0000  6 O 2.11-2.18
Bi1 0.5000 0.2504 0.5000  6 O 2.19-2.32
Ir1 0.0000 0.5000 0.0000  6 O 1.91-2.02
O1 0.1803 0.2645 0.8243  1 Ir 2.02, 1 Sc 2.18
O2 0.2691 0.5000 0.2756  1 Ir 1.91
O3 0.2988 0.0000 0.3022  1 Sc 2.11, 2 Bi 2.19

Output
The final energy is -6.599 eV per atom. The density is 7.82 g/cm³.